Compound: Sc2BiRuSe
Source: Alexandria via LeMat-Bulk
Functional: GGA-PBEsol
Structure: relaxed

formation energy (no corrections) = -168 meV per atom
space group = No. 123
magnetic moment = 0.00 μB per cell

Lattice parameters (Å, degrees): 5.0056 4.9683 4.9683 90.00 90.00 90.00
Positions (direct):
1 Sc 0.0000 0.0000 0.5000
2 Sc 0.0000 0.5000 0.0000
3 Ru 0.0000 0.0000 0.0000
4 Bi 0.5000 0.0000 0.0000
5 Se 0.5000 0.5000 0.5000